A geometry-optimized AgH2 structure. Source: the Alexandria database, functional PBE-GGA.

Cell: 3.531 3.531 3.531 Å, 126.44 126.44 79.17°
Sites, in units of the cell vectors:
Ag  0.000  0.000  0.000
H  0.325  0.325  0.000
H  0.675  0.675  0.000

A geometry-optimized Ag5H structure. Source: the Alexandria database, functional PBE-GGA.

Cell: 7.263 7.263 4.785 Å, 90.00 90.00 156.70°
Sites, in units of the cell vectors:
Ag  0.000  0.000  0.000
Ag  0.111  0.889  0.500
Ag  0.331  0.669  0.000
Ag  0.669  0.331  0.000
Ag  0.889  0.111  0.500
H  0.500  0.500  0.500

A geometry-optimized HfAg2H2 structure. Source: the Alexandria database, functional PBE-GGA.

Cell: 5.541 5.541 5.541 Å, 140.16 140.16 57.60°
Sites, in units of the cell vectors:
Hf  0.000  0.000  0.000
Ag  0.250  0.750  0.500
Ag  0.750  0.250  0.500
H  0.457  0.457  0.000
H  0.543  0.543  0.000

Results
Energy above the most stable polymorph in this dataset in eV/atom: 0.430

A geometry-optimized Hf2AgH structure. Source: the Alexandria database, functional PBE-GGA.

Cell: 8.722 8.722 8.722 Å, 19.87 19.87 19.87°
Sites, in units of the cell vectors:
Hf  0.112  0.112  0.112
Hf  0.888  0.888  0.888
Ag  0.000  0.000  0.000
H  0.500  0.500  0.500

Results
Energy above the most stable polymorph in this dataset in eV/atom: 0.164

A geometry-optimized Hf3AgH structure. Source: the Alexandria database, functional PBE-GGA.

Cell: 4.392 4.392 4.392 Å, 90.00 90.00 90.00°
Sites, in units of the cell vectors:
Hf  0.000  0.000  0.500
Hf  0.000  0.500  0.000
Hf  0.500  0.000  0.000
Ag  0.500  0.500  0.500
H  0.000  0.000  0.000

Results
Energy above the most stable polymorph in this dataset in eV/atom: 0.000

A geometry-optimized Hf3AgH structure. Source: the Alexandria database, functional PBE-GGA.

Cell: 5.128 5.128 5.128 Å, 90.00 90.00 90.00°
Sites, in units of the cell vectors:
Hf  0.000  0.000  0.500
Hf  0.000  0.500  0.000
Hf  0.500  0.000  0.000
Ag  0.000  0.000  0.000
H  0.500  0.500  0.500

Results
Energy above the most stable polymorph in this dataset in eV/atom: 1.792

A geometry-optimized HfAgH structure. Source: the Alexandria database, functional PBE-GGA.

Cell: 7.185 7.185 3.289 Å, 90.00 90.00 90.00°
Sites, in units of the cell vectors:
Hf  0.031  0.719  0.000
Hf  0.281  0.031  0.500
Hf  0.719  0.969  0.500
Hf  0.969  0.281  0.000
Ag  0.265  0.461  0.500
Ag  0.461  0.735  0.000
Ag  0.539  0.265  0.000
Ag  0.735  0.539  0.500
H  0.064  0.860  0.500
H  0.140  0.064  0.000
H  0.860  0.936  0.000
H  0.936  0.140  0.500

A geometry-optimized Hf2AgH structure. Source: the Alexandria database, functional PBE-GGA.

Cell: 4.601 4.601 4.601 Å, 60.00 60.00 60.00°
Sites, in units of the cell vectors:
Hf  0.250  0.250  0.250
Hf  0.750  0.750  0.750
Ag  0.000  0.000  0.000
H  0.500  0.500  0.500

Results
Energy above the most stable polymorph in this dataset in eV/atom: 0.382

A geometry-optimized Hf2AgH structure. Source: the Alexandria database, functional PBE-GGA.

Cell: 5.560 5.560 5.560 Å, 110.17 110.17 108.08°
Sites, in units of the cell vectors:
Hf  0.036  0.625  0.911
Hf  0.375  0.286  0.411
Hf  0.714  0.125  0.089
Hf  0.875  0.964  0.589
Ag  0.250  0.750  0.500
Ag  0.500  0.500  0.000
H  0.000  0.000  0.000
H  0.750  0.250  0.500

Results
Energy above the most stable polymorph in this dataset in eV/atom: 0.000

A geometry-optimized HfAg2H2 structure. Source: the Alexandria database, functional PBE-GGA.

Cell: 5.514 5.514 4.384 Å, 90.00 90.00 90.00°
Sites, in units of the cell vectors:
Hf  0.000  0.000  0.000
Hf  0.500  0.500  0.000
Ag  0.178  0.322  0.500
Ag  0.322  0.822  0.500
Ag  0.678  0.178  0.500
Ag  0.822  0.678  0.500
H  0.179  0.321  0.000
H  0.321  0.821  0.000
H  0.679  0.179  0.000
H  0.821  0.679  0.000

Results
Energy above the most stable polymorph in this dataset in eV/atom: 0.000

A geometry-optimized Hf3AgH3 structure. Source: the Alexandria database, functional PBE-GGA.

Cell: 5.672 5.672 5.672 Å, 90.00 90.00 90.00°
Sites, in units of the cell vectors:
Hf  0.000  0.250  0.500
Hf  0.000  0.750  0.500
Hf  0.250  0.500  0.000
Hf  0.500  0.000  0.250
Hf  0.500  0.000  0.750
Hf  0.750  0.500  0.000
Ag  0.000  0.000  0.000
Ag  0.500  0.500  0.500
H  0.000  0.500  0.250
H  0.000  0.500  0.750
H  0.250  0.000  0.500
H  0.500  0.250  0.000
H  0.500  0.750  0.000
H  0.750  0.000  0.500

A geometry-optimized HfIn2AgH structure. Source: the Alexandria database, functional PBE-GGA.

Cell: 5.724 5.724 3.548 Å, 90.00 90.00 90.00°
Sites, in units of the cell vectors:
Hf  0.000  0.000  0.000
In  0.000  0.500  0.000
In  0.500  0.000  0.000
Ag  0.500  0.500  0.500
H  0.000  0.000  0.500

no.,E_tot (eV per atom)
1,-2.41
2,-2.64
3,-4.03
4,-6.34
5,-7.28
6,-5.49
7,-5.54
8,-6.12
9,-6.51
10,-4.46
11,-6.36
12,-3.94